Run one
Density functional theory data (PBE) for crystalline Pm3Ho4Tl at its relaxed geometry.

a b c (Å): 4.1406 4.1406 14.5040
angles (deg): 90.00 90.00 90.00
Closest atoms and distances in Å follow each position.
Space group P4/mmm (No. 123)
One atom of each set of equivalent atoms:
Pm: 0.0000 0.0000 0.0000  8 Ho 3.50, 2 Pm 3.66
Pm: 0.0000 0.0000 0.2521  8 Ho 3.41-3.53, 1 Tl 3.60, 1 Pm 3.66
Ho: 0.5000 0.5000 0.1317  8 Pm 3.41-3.50, 1 Ho 3.73
Ho: 0.5000 0.5000 0.3886  1 Ho 3.23, 4 Tl 3.34, 4 Pm 3.53
Tl: 0.0000 0.0000 0.5000  8 Ho 3.34, 2 Pm 3.60

Values from the calculation:
Total magnetization in μB/f.u.: 0.00



Run two
Density functional theory data (PBE) for crystalline Pm3Ho4Tl at its relaxed geometry.

a b c (Å): 11.2682 7.0932 6.2286
angles (deg): 90.00 90.00 90.00
Closest atoms and distances in Å follow each position.
Space group Pmn2_1 (No. 31)
One atom of each set of equivalent atoms:
Pm: 0.0000 0.1289 0.0000  5 Ho 3.37-3.55, 4 Pm 3.44-3.56, 1 Tl 3.49
Pm: 0.2371 0.1159 0.3489  2 Tl 3.41-3.58, 4 Pm 3.44-3.56, 6 Ho 3.48-3.71
Ho: 0.0000 0.3807 0.5414  3 Pm 3.37-3.48, 6 Ho 3.39-3.69, 2 Tl 3.42-3.68
Ho: 0.0000 0.6282 0.0199  6 Ho 3.45-3.69, 2 Tl 3.48-3.58, 4 Pm 3.54-3.63
Ho: 0.2399 0.6234 0.3636  1 Tl 3.35, 6 Ho 3.39-3.58, 5 Pm 3.49-3.71
Tl: 0.0000 0.8621 0.5287  6 Ho 3.35-3.68, 5 Pm 3.41-3.58

Values from the calculation:
Total magnetization in μB/f.u.: 0.00



run two is favored, and the nearest alternative lies 0.094 eV/atom above it.



Run one
Density functional theory data (PBE) for crystalline Pm6HoTl2 at its relaxed geometry.

a b c (Å): 13.0976 3.8178 12.1214
angles (deg): 90.00 108.06 90.00
Closest atoms and distances in Å follow each position.
Space group C2/m (No. 12)
One atom of each set of equivalent atoms:
Pm: 0.0155 0.0000 0.3432  2 Tl 3.32, 7 Pm 3.63-3.70
Pm: 0.1833 0.5000 0.8765  2 Tl 3.36, 5 Pm 3.51-3.64, 2 Ho 3.73
Pm: 0.1934 0.5000 0.5903  2 Tl 3.42, 10 Pm 3.51-3.82
Ho: 0.0000 0.0000 0.0000  4 Tl 3.15
Tl: 0.1366 0.5000 0.1973  2 Ho 3.15, 6 Pm 3.32-3.42

Values from the calculation:
Total magnetization in μB/f.u.: 0.00



Run two
Density functional theory data (PBE) for crystalline Pm6HoTl2 at its relaxed geometry.

a b c (Å): 16.0777 11.7565 5.9881
angles (deg): 90.00 98.94 90.00
Closest atoms and distances in Å follow each position.
Space group C2/c (No. 15)
One atom of each set of equivalent atoms:
Pm: 0.0585 0.1128 0.0334  4 Pm 3.24-3.62, 4 Tl 3.25-3.51, 1 Ho 3.39
Pm: 0.1139 0.3874 0.3007  5 Pm 3.41-3.68, 2 Tl 3.45-3.67, 3 Ho 3.50-3.53
Pm: 0.2372 0.3758 0.8325  4 Pm 3.26-3.56, 4 Tl 3.31-3.58
Ho: 0.0000 0.3565 0.7500  10 Pm 3.39-3.77
Tl: 0.1555 0.1372 0.5984  9 Pm 3.25-3.58

Values from the calculation:
Total magnetization in μB/f.u.: 0.00



run one is favored, and the nearest alternative lies 0.040 eV/atom above it.



Run one
Density functional theory data (PBE) for crystalline Pm5HoTl2 at its relaxed geometry.

a b c (Å): 3.6774 10.9913 12.4992
angles (deg): 90.00 90.00 90.00
Closest atoms and distances in Å follow each position.
Space group Immm (No. 71)
One atom of each set of equivalent atoms:
Pm: 0.0000 0.0000 0.0000  2 Tl 3.44, 10 Pm 3.51-3.68
Pm: 0.0000 0.2776 0.3626  3 Tl 3.24-3.51, 5 Pm 3.42-3.51
Ho: 0.0000 0.5000 0.0000  4 Tl 3.36, 2 Ho 3.68
Tl: 0.0000 0.0000 0.2749  7 Pm 3.24-3.51, 2 Ho 3.36

Values from the calculation:
Total magnetization in μB/f.u.: 0.00



Run two
Density functional theory data (PBE) for crystalline Pm5HoTl2 at its relaxed geometry.

a b c (Å): 5.5317 5.5317 20.3421
angles (deg): 90.00 90.00 120.00
Closest atoms and distances in Å follow each position.
Space group P6_3/mmc (No. 194)
One atom of each set of equivalent atoms:
Pm: 0.0000 0.0000 0.1622  3 Tl 3.46, 7 Pm 3.57-3.80, 3 Ho 3.66
Pm: 0.3333 0.6667 0.0612  4 Tl 3.22-3.27
Pm: 0.3333 0.6667 0.2500  3 Ho 3.19
Ho: 0.3333 0.6667 0.7500  2 Tl 3.12, 3 Pm 3.19
Tl: 0.3333 0.6667 0.5968  1 Ho 3.12, 7 Pm 3.22-3.46

Values from the calculation:
Total magnetization in μB/f.u.: 0.00



run one is favored, and the nearest alternative lies 0.039 eV/atom above it.



Run one
Density functional theory data (PBE) for crystalline Pm3Ho2Tl4 at its relaxed geometry.

a b c (Å): 7.3197 15.5297 9.8983
angles (deg): 90.00 90.00 90.00
Closest atoms and distances in Å follow each position.
Space group Cmce (No. 64)
One atom of each set of equivalent atoms:
Pm: 0.0000 0.0000 0.0000  6 Tl 3.08
Pm: 0.2500 0.2163 0.2500  5 Tl 3.19-3.28
Ho: 0.0000 0.1051 0.5511  3 Tl 3.15-3.20, 1 Ho 3.42
Tl: 0.0000 0.1977 0.9769  5 Pm 3.08-3.28, 1 Ho 3.15
Tl: 0.2500 0.0065 0.2500  3 Pm 3.08-3.26, 2 Ho 3.20

Values from the calculation:
Total magnetization in μB/f.u.: 0.00



Run two
Density functional theory data (PBE) for crystalline Pm3Ho2Tl4 at its relaxed geometry.

a b c (Å): 9.2873 5.3661 10.4958
angles (deg): 90.00 90.04 90.00
Closest atoms and distances in Å follow each position.
Space group C2/m (No. 12)
One atom of each set of equivalent atoms:
Pm: 0.0000 0.0000 0.0000  8 Tl 3.27-3.60
Pm: 0.1666 0.5000 0.4211  4 Tl 3.20-3.35, 3 Pm 3.51
Ho: 0.1670 0.5000 0.7782  7 Tl 3.34-3.40, 3 Pm 3.74
Tl: 0.9999 0.0000 0.3429  3 Pm 3.20, 1 Tl 3.30, 3 Ho 3.35
Tl: 0.1664 0.5000 0.1017  4 Pm 3.27-3.35, 4 Ho 3.34-3.40

Values from the calculation:
Total magnetization in μB/f.u.: 0.00



run two is favored, and the nearest alternative lies 0.121 eV/atom above it.